No. 1
The following is a DFT calculation (GGA-PBE) of a geometry-optimized LiAl5Ga8 structure.

Computed properties:
- Calculated total energy: -3.1836 eV per atom
- Space-group type: I-4, No. 82
- E_form: 0.019 eV per atom

a = 7.0124 Å, b = 7.0124 Å, c = 7.0124 Å
α = 105.91°, β = 105.91°, γ = 116.86°
With the nearest neighbours (Å) after each atom.
Element x y z (fractional)
Li 0.0000 0.0000 0.0000  8 Ga 2.79-3.06
Al 0.0082 0.7703 0.5134  4 Ga 2.59-2.84, 2 Al 2.81
Al 0.2297 0.7431 0.2379  4 Ga 2.59-2.84, 2 Al 2.81
Al 0.2569 0.4948 0.4866  4 Ga 2.59-2.84, 2 Al 2.81
Al 0.5052 0.9918 0.7621  4 Ga 2.59-2.84, 2 Al 2.81
Al 0.7500 0.2500 0.5000  4 Ga 2.68
Ga 0.1527 0.6685 0.8328  5 Al 2.59-2.84, 2 Ga 2.73-2.79
Ga 0.1745 0.2714 0.7872  4 Ga 2.73-2.91, 1 Li 2.79, 3 Al 2.96-3.01
Ga 0.3315 0.1643 0.4842  5 Al 2.59-2.84, 2 Ga 2.73-2.79
Ga 0.4843 0.3874 0.2128  4 Ga 2.73-2.91, 1 Li 2.79, 3 Al 2.96-3.01
Ga 0.6126 0.8255 0.0969  4 Ga 2.73-2.91, 1 Li 2.79, 3 Al 2.96-3.01
Ga 0.6801 0.8473 0.5158  5 Al 2.59-2.84, 2 Ga 2.73-2.79
Ga 0.7286 0.5157 0.9031  4 Ga 2.73-2.91, 1 Li 2.79, 3 Al 2.96-3.01
Ga 0.8357 0.3199 0.1672  5 Al 2.59-2.84, 2 Ga 2.73-2.79

=====

No. 2
The following is a DFT calculation (GGA-PBE) of a geometry-optimized LiAl6Ga structure.

Computed properties:
- Calculated total energy: -3.2723 eV per atom
- Space-group type: C2/m, No. 12
- ΔE to the lowest computed polymorph: 139 meV per atom
- E_form: 0.152 eV per atom

a = 4.9366 Å, b = 4.9366 Å, c = 7.2214 Å
α = 106.74°, β = 106.74°, γ = 67.72°
With the nearest neighbours (Å) after each atom.
Element x y z (fractional)
Li 0.0000 0.0000 0.0000  10 Al 2.78-2.88
Al 0.0429 0.5591 0.2028  1 Ga 2.62, 5 Al 2.66-2.88, 2 Li 2.78-2.87
Al 0.1358 0.1358 0.4250  7 Al 2.79-2.97, 3 Ga 2.84-3.08, 1 Li 2.88
Al 0.4409 0.9571 0.7972  1 Ga 2.62, 5 Al 2.66-2.88, 2 Li 2.78-2.87
Al 0.5591 0.0429 0.2028  1 Ga 2.62, 5 Al 2.66-2.88, 2 Li 2.78-2.87
Al 0.8642 0.8642 0.5750  7 Al 2.79-2.97, 3 Ga 2.84-3.08, 1 Li 2.88
Al 0.9571 0.4409 0.7972  1 Ga 2.62, 5 Al 2.66-2.88, 2 Li 2.78-2.87
Ga 0.5000 0.5000 0.5000  6 Al 2.62-2.84

=====

No. 3
The following is a DFT calculation (GGA-PBE) of a geometry-optimized Li5AlGa6 structure.

Computed properties:
- Calculated total energy: -2.8724 eV per atom
- Space-group type: P-1, No. 2
- E_form: -0.250 eV per atom

a = 3.9688 Å, b = 7.4512 Å, c = 7.4559 Å
α = 105.80°, β = 105.37°, γ = 105.12°
With the nearest neighbours (Å) after each atom.
Element x y z (fractional)
Li 0.0000 0.0000 0.0000  4 Li 2.77-2.78, 8 Ga 2.82-2.84
Li 0.0008 0.3324 0.6678  2 Al 2.81, 8 Ga 2.81-2.85, 2 Li 2.82-2.83
Li 0.5004 0.1636 0.8369  4 Li 2.77-2.83, 8 Ga 2.80-2.87
Li 0.4996 0.8364 0.1631  4 Li 2.77-2.83, 8 Ga 2.80-2.87
Li 0.9992 0.6676 0.3322  2 Al 2.81, 8 Ga 2.81-2.85, 2 Li 2.82-2.83
Al 0.5000 0.5000 0.5000  4 Li 2.81, 8 Ga 2.83-2.84
Ga 0.2481 0.4155 0.0822  4 Ga 2.80-2.81, 7 Li 2.82-2.87, 1 Al 2.84
Ga 0.2498 0.0816 0.4158  4 Ga 2.79-2.81, 7 Li 2.81-2.86, 1 Al 2.84
Ga 0.2503 0.7505 0.7502  6 Li 2.80-2.84, 4 Ga 2.80-2.81, 2 Al 2.83-2.84
Ga 0.7497 0.2495 0.2498  6 Li 2.80-2.84, 4 Ga 2.80-2.81, 2 Al 2.83-2.84
Ga 0.7502 0.9184 0.5842  4 Ga 2.79-2.81, 7 Li 2.81-2.86, 1 Al 2.84
Ga 0.7519 0.5845 0.9178  4 Ga 2.80-2.81, 7 Li 2.82-2.87, 1 Al 2.84